The following is a PBE with a Hubbard U calculation of a relaxed Sr3CrCu2O6 crystal, from the Alexandria database.

## Properties
The value obtained for the raw total energy is -5.93 eV per atom. The crystal system is trigonal.

Unit cell a=5.767 b=5.767 c=6.321 alpha=90.00 beta=90.00 gamma=120.00
Sites, in units of the cell vectors:
Sr (0.333, 0.667, 0.634)
Sr (0.667, 0.333, 0.366)
Sr (0.000, 0.000, 0.000)
Cr (0.000, 0.000, 0.500)
Cu (0.667, 0.333, 0.821)
Cu (0.333, 0.667, 0.179)
O (0.677, 0.839, 0.308)
O (0.161, 0.323, 0.308)
O (0.161, 0.839, 0.308)
O (0.839, 0.677, 0.692)
O (0.323, 0.161, 0.692)
O (0.839, 0.161, 0.692)